Entry 1:
AlCdW2 | PBE | relaxed

Results
Calculated volume   16.710 Å³ per atom
Relative energy among the computed polymorphs   116 meV/atom
Crystal system   tetragonal

Lattice parameters (Å, degrees): 2.7425 2.7425 8.8865 90.00 90.00 90.00
Positions (direct):
1 Al 0.5000 0.5000 0.2500
2 W 0.0000 0.0000 0.4822
3 W 0.0000 0.0000 0.0178
4 Cd 0.5000 0.5000 0.7500

***

Entry 2:
KIn2Ga6 | PBE | relaxed

Results
Calculated volume   24.697 Å³ per atom
Relative energy among the computed polymorphs   39 meV/atom
Crystal system   monoclinic

Lattice parameters (Å, degrees): 4.3735 7.9830 7.8979 120.36 107.93 90.00
Positions (direct):
1 Ga 0.6928 0.9914 0.3865
2 Ga 0.6928 0.3951 0.3865
3 Ga 0.5000 0.3258 0.0000
4 Ga 0.3072 0.0086 0.6135
5 Ga 0.3072 0.6049 0.6135
6 Ga 0.5000 0.6742 0.0000
7 In 0.1412 0.6251 0.2502
8 In 0.8588 0.3749 0.7498
9 K 0.0000 0.0000 0.0000